Record 1
A geometry-optimized GdAlGa3Ni structure. Source: OQMD, functional PBE.

- magnetic moment (μB per formula unit) = 0.0
- energy (eV for the cell shown) = -52.62

The structure in POSCAR format:
```
GdAlGa3Ni
1.0
2.044 -7.715 0.000
2.044 7.715 0.000
0.000 0.000 6.566
Al Ga Ni Gd
2 6 2 2
Direct
0.574 0.426 0.750
0.426 0.574 0.250
0.000 0.000 0.500
0.186 0.814 0.949
0.814 0.186 0.051
0.186 0.814 0.551
0.000 0.000 0.000
0.814 0.186 0.449
0.275 0.725 0.250
0.725 0.275 0.750
0.618 0.382 0.250
0.382 0.618 0.750
```

Record 2
A geometry-optimized GdAl3GaNi structure. Source: OQMD, functional PBE.

- magnetic moment (μB per formula unit) = 0.0
- energy (eV for the cell shown) = -55.95

The structure in POSCAR format:
```
GdAl3GaNi
1.0
2.034 -7.736 0.000
2.034 7.736 0.000
0.000 0.000 6.635
Gd Ga Al Ni
2 2 6 2
Direct
0.385 0.615 0.750
0.615 0.385 0.250
0.000 0.000 0.000
0.000 0.000 0.500
0.190 0.810 0.947
0.577 0.423 0.750
0.810 0.190 0.053
0.810 0.190 0.447
0.190 0.810 0.553
0.423 0.577 0.250
0.726 0.274 0.750
0.274 0.726 0.250
```

Record 3
A geometry-optimized GdAl2Ga2Ni structure. Source: OQMD, functional PBE.

- magnetic moment (μB per formula unit) = 0.0
- energy (eV for the cell shown) = -53.88

The structure in POSCAR format:
```
GdAl2Ga2Ni
1.0
1.403 6.327 -4.686
-1.996 -3.060 7.114
6.305 -0.129 1.714
Ni Al Gd Ga
2 4 2 4
Direct
0.725 0.275 0.250
0.275 0.725 0.750
0.000 0.000 0.500
0.000 0.000 0.000
0.574 0.426 0.250
0.426 0.574 0.750
0.620 0.380 0.750
0.380 0.620 0.250
0.815 0.185 0.551
0.185 0.815 0.051
0.185 0.815 0.449
0.815 0.185 0.949
```

Record 4
A geometry-optimized GdAlGa3Ni structure. Source: OQMD, functional PBE.

- magnetic moment (μB per formula unit) = 0.0
- energy (eV for the cell shown) = -52.54

The structure in POSCAR format:
```
GdAlGa3Ni
1.0
7.088 2.708 -2.433
-7.270 1.369 2.961
2.341 -0.680 6.062
Ga Ni Gd Al
6 2 2 2
Direct
0.815 0.185 0.051
0.185 0.815 0.551
0.815 0.185 0.449
0.185 0.815 0.949
0.571 0.429 0.750
0.429 0.571 0.250
0.724 0.276 0.750
0.276 0.724 0.250
0.381 0.619 0.750
0.619 0.381 0.250
0.000 0.000 0.500
0.000 0.000 0.000
```

Record 5
A geometry-optimized GdAl2Ga2Ni structure. Source: OQMD, functional PBE.

- magnetic moment (μB per formula unit) = 0.0
- energy (eV for the cell shown) = -54.56

The structure in POSCAR format:
```
GdAl2Ga2Ni
1.0
2.042 -7.683 0.000
2.042 7.683 0.000
0.000 0.000 6.652
Ni Gd Al Ga
2 2 4 4
Direct
0.275 0.725 0.750
0.725 0.275 0.250
0.384 0.616 0.250
0.616 0.384 0.750
0.189 0.811 0.447
0.189 0.811 0.053
0.811 0.189 0.947
0.811 0.189 0.553
0.000 0.000 0.500
0.426 0.574 0.750
0.574 0.426 0.250
0.000 0.000 0.000
```

Record 6
A geometry-optimized GdAl3GaNi structure. Source: OQMD, functional PBE.

- magnetic moment (μB per formula unit) = 0.0
- energy (eV for the cell shown) = -55.75

The structure in POSCAR format:
```
GdAl3GaNi
1.0
2.047 -7.730 0.000
2.047 7.730 0.000
0.000 0.000 6.604
Gd Al Ga Ni
2 6 2 2
Direct
0.884 0.116 0.250
0.116 0.884 0.750
0.689 0.311 0.052
0.500 0.500 0.500
0.311 0.689 0.552
0.500 0.500 0.000
0.311 0.689 0.948
0.689 0.311 0.448
0.927 0.073 0.750
0.073 0.927 0.250
0.775 0.225 0.750
0.225 0.775 0.250
```

Record 7
A geometry-optimized Gd2AlGaPt4 structure. Source: OQMD, functional PBE.

- magnetic moment (μB per formula unit) = 0.0
- energy (eV for the cell shown) = -49.17

The structure in POSCAR format:
```
Gd2AlGaPt4
1.0
-0.668 -0.968 -4.218
3.530 -1.558 2.072
-4.785 -7.533 2.487
Gd Pt Ga Al
2 4 1 1
Direct
0.667 0.333 0.751
0.333 0.667 0.249
0.667 0.333 0.419
0.333 0.667 0.581
0.333 0.667 0.916
0.667 0.333 0.084
0.000 0.000 0.000
0.000 0.000 0.500
```

Record 8
A geometry-optimized Gd3AlGa2Si2Pt structure. Source: OQMD, functional PBE.

- magnetic moment (μB per formula unit) = 0.0
- energy (eV for the cell shown) = -48.12

The structure in POSCAR format:
```
Gd3AlGa2Si2Pt
1.0
-0.111 -2.962 3.045
3.824 -4.291 -4.035
3.034 4.483 4.473
Al Gd Pt Ga Si
1 3 1 2 2
Direct
0.000 0.236 0.236
0.500 0.995 0.414
0.500 0.414 0.995
0.500 0.586 0.586
0.500 0.012 0.012
0.000 0.760 0.002
0.000 0.002 0.760
0.000 0.660 0.334
0.000 0.334 0.660
```

Record 9
A geometry-optimized Gd3Al2GaSn2Pt structure. Source: OQMD, functional PBE.

- magnetic moment (μB per formula unit) = 0.0
- energy (eV for the cell shown) = -45.53

The structure in POSCAR format:
```
Gd3Al2GaSn2Pt
1.0
-2.118 0.377 3.809
5.127 -4.036 3.249
0.849 7.235 -0.243
Sn Gd Al Pt Ga
2 3 2 1 1
Direct
0.000 0.665 0.326
0.000 0.326 0.665
0.500 0.601 0.993
0.500 0.993 0.601
0.500 0.400 0.400
0.000 0.001 0.223
0.000 0.223 0.001
0.500 0.015 0.015
0.000 0.777 0.777
```

Record 10
A geometry-optimized Gd3AlGa2Sn2Pt structure. Source: OQMD, functional PBE.

- magnetic moment (μB per formula unit) = 0.0
- energy (eV for the cell shown) = -44.68

The structure in POSCAR format:
```
Gd3AlGa2Sn2Pt
1.0
-1.656 -0.634 4.002
-5.146 -4.509 -2.843
6.564 -2.542 2.313
Ga Gd Sn Al Pt
2 3 2 1 1
Direct
0.000 0.776 0.004
0.000 0.004 0.776
0.500 0.606 0.606
0.500 0.993 0.391
0.500 0.391 0.993
0.000 0.661 0.334
0.000 0.334 0.661
0.000 0.221 0.221
0.500 0.014 0.014
```

Record 11
A geometry-optimized GdAlZn2Ga structure. Source: OQMD, functional PBE.

- magnetic moment (μB per formula unit) = 0.0
- energy (eV for the cell shown) = -16.08

The structure in POSCAR format:
```
GdAlZn2Ga
1.0
6.092 -1.119 0.024
4.288 4.235 1.428
-5.346 -2.344 2.072
Zn Al Gd Ga
2 1 1 1
Direct
0.890 0.890 0.000
0.110 0.110 0.000
0.250 0.750 0.500
0.500 0.500 0.000
0.750 0.250 0.500
```

Record 12
A geometry-optimized Gd2AlZn2Ga structure. Source: OQMD, functional PBE.

- magnetic moment (μB per formula unit) = 0.0
- energy (eV for the cell shown) = -21.78

The structure in POSCAR format:
```
Gd2AlZn2Ga
1.0
-3.595 0.076 2.649
-0.494 -0.334 -4.426
0.232 -7.244 0.521
Gd Zn Al Ga
2 2 1 1
Direct
0.000 0.000 0.244
0.000 0.000 0.749
0.667 0.333 0.533
0.333 0.667 0.036
0.333 0.667 0.471
0.667 0.333 0.967
```